## Zn3HAu (PBE)

Data for an optimized crystal structure of Zn3HAu.

Summary:
Calculated total energy (eV per atom): -1.969
M_tot (μB/cell): 0.00

The structure in extended XYZ format:
```
5
Lattice="4.038 0.000 0.000 0.000 4.038 0.000 0.000 0.000 4.038" Properties=species:S:1:pos:R:3 pbc="T T T"
Zn 0.000 0.000 2.019
Zn 0.000 2.019 0.000
Zn 2.019 0.000 0.000
H 0.000 0.000 0.000
Au 2.019 2.019 2.019
```

***

## Lu2CdAg (PBE)

Data for an optimized crystal structure of Lu2CdAg.

Summary:
Calculated total energy (eV per atom): -3.521
M_tot (μB/cell): 0.00
DFT formation energy (kJ per mole of atoms): -30.8
Offset from the most stable computed form (eV per atom): 0.000

The structure in extended XYZ format:
```
4
Lattice="-2.259 -2.811 -0.475 2.093 -2.046 2.159 -3.803 2.098 5.676" Properties=species:S:1:pos:R:3 pbc="T T T"
Cd -1.984 -1.380 3.680
Lu -0.917 0.506 1.369
Lu -2.886 1.592 4.307
Ag -0.083 -2.429 0.842
```

***

## Ba2Li2Mg5Cd (PBE)

Data for an optimized crystal structure of Ba2Li2Mg5Cd.

Summary:
Calculated total energy (eV per atom): -1.670
M_tot (μB/cell): 0.00
DFT formation energy (kJ per mole of atoms): -1.3

The structure in extended XYZ format:
```
20
Lattice="4.083 0.000 0.000 0.000 11.943 0.000 0.000 0.000 11.943" Properties=species:S:1:pos:R:3 pbc="T T T"
Ba 0.000 9.749 8.167
Ba 0.000 2.195 3.777
Ba 0.000 3.777 9.749
Ba 0.000 8.167 2.195
Li 0.000 7.391 10.524
Li 0.000 4.552 1.420
Li 0.000 10.524 4.552
Li 0.000 1.420 7.391
Mg 2.041 0.000 5.972
Mg 2.041 9.673 11.374
Mg 2.041 2.270 0.570
Mg 2.041 11.374 2.270
Mg 2.041 5.402 3.702
Mg 2.041 8.242 5.402
Mg 2.041 3.702 6.542
Mg 2.041 5.972 0.000
Mg 2.041 0.570 9.673
Mg 2.041 6.542 8.242
Cd 0.000 5.972 5.972
Cd 0.000 0.000 0.000
```